Entry from OQMD via LeMat-Bulk: HfInBi2 after structural relaxation (GGA-PBE).

Structure (POSCAR):
```
HfInBi2
1.0
0.0000 3.7844 3.7844
3.7844 0.0000 3.7844
3.7844 3.7844 0.0000
Hf In Bi
1 1 2
Direct
0.0000 0.0000 0.0000
0.7500 0.7500 0.7500
0.2500 0.2500 0.2500
0.5000 0.5000 0.5000
```

## Properties
**SG**: No. 216

---

Entry from OQMD via LeMat-Bulk: HfIn2Bi after structural relaxation (GGA-PBE).

Structure (POSCAR):
```
HfIn2Bi
1.0
0.0000 3.7240 3.7240
3.7240 0.0000 3.7240
3.7240 3.7240 0.0000
Hf In Bi
1 2 1
Direct
0.0000 0.0000 0.0000
0.2500 0.2500 0.2500
0.5000 0.5000 0.5000
0.7500 0.7500 0.7500
```

## Properties
**SG**: No. 216

---

Entry from OQMD via LeMat-Bulk: Hf2InBi2 after structural relaxation (GGA-PBE).

Structure (POSCAR):
```
Hf2InBi2
1.0
-2.3474 2.3474 6.7195
2.3474 -2.3474 6.7195
2.3474 2.3474 -6.7195
Hf In Bi
2 1 2
Direct
0.2500 0.7500 0.5000
0.7500 0.2500 0.5000
0.0000 0.0000 0.0000
0.3822 0.3822 0.0000
0.6178 0.6178 0.0000
```

## Properties
**SG**: No. 139

---

Entry from OQMD via LeMat-Bulk: Hf2InBi2 after structural relaxation (GGA-PBE).

Structure (POSCAR):
```
Hf2InBi2
1.0
-2.2245 2.2245 6.8120
2.2245 -2.2245 6.8120
2.2245 2.2245 -6.8120
Hf In Bi
2 1 2
Direct
0.0998 0.0998 0.0000
0.9002 0.9002 0.0000
0.5000 0.5000 0.0000
0.2500 0.7500 0.5000
0.7500 0.2500 0.5000
```

## Properties
**SG**: No. 139

---

Entry from OQMD via LeMat-Bulk: Hf4InBiN2 after structural relaxation (GGA-PBE).

Structure (POSCAR):
```
Hf4InBiN2
1.0
3.3001 0.0000 0.0000
-1.6501 2.8580 0.0000
0.0000 0.0000 14.6141
Hf In Bi N
4 1 1 2
Direct
0.0000 0.0000 0.1664
0.0000 0.0000 0.8336
0.6667 0.3333 0.3333
0.6667 0.3333 0.6667
0.0000 0.0000 0.5000
0.6667 0.3333 0.0000
0.3333 0.6667 0.2519
0.3333 0.6667 0.7481
```

## Properties
**SG**: No. 187

---

Entry from OQMD via LeMat-Bulk: Hf2InBiPd2 after structural relaxation (GGA-PBE).

Structure (POSCAR):
```
Hf2InBiPd2
1.0
-3.2044 3.2044 6.4213
3.2044 -3.2044 6.4213
3.2044 3.2044 -6.4213
Hf In Bi Pd
4 2 2 4
Direct
0.2444 0.2444 0.0000
0.5056 0.0056 0.5000
0.7556 0.7556 0.0000
0.9944 0.4944 0.5000
0.0000 0.0000 0.0000
0.7500 0.2500 0.5000
0.2500 0.7500 0.5000
0.5000 0.5000 0.0000
0.1235 0.6250 0.9985
0.3750 0.3735 0.4985
0.6265 0.1250 0.0015
0.8750 0.8765 0.5015
```

## Properties
**SG**: No. 122

---

no.,E (eV per cell)
1,-19.44
2,-18.38
3,-29.56
4,-29.06
5,-70.40
6,-80.37